1.
First-principles (meta-GGA SCAN) data for a PBEsol-optimized structure of Te2PIrI, as listed in Alexandria.

The structure in extended XYZ format:
```
5
Lattice="5.0380 0.0000 0.0000 0.0000 5.0380 0.0000 0.0000 0.0000 5.0922" Properties=species:S:1:pos:R:3 pbc="T T T"
Te 0.0000 2.5190 0.0000
Te 2.5190 0.0000 0.0000
P 0.0000 0.0000 0.0000
Ir 2.5190 2.5190 2.5461
I 0.0000 0.0000 2.5461
```

Values from the calculation:
- space-group type = P4/mmm (123)
- V (A^3/atom) = 25.849
- total DFT energy (no corrections) (eV per atom) = -37.063
- ΔE_f (raw) (eV per atom) = 1.4849

2.
First-principles (meta-GGA SCAN) data for a PBEsol-optimized structure of SnTeMo2Rh, as listed in Alexandria.

The structure in extended XYZ format:
```
5
Lattice="4.8139 0.0000 0.0000 0.0000 4.8139 0.0000 0.0000 0.0000 5.3977" Properties=species:S:1:pos:R:3 pbc="T T T"
Sn 0.0000 0.0000 0.0000
Te 0.0000 0.0000 2.6988
Mo 0.0000 2.4069 2.6988
Mo 2.4069 0.0000 2.6988
Rh 2.4069 2.4069 0.0000
```

Values from the calculation:
- space-group type = P4/mmm (123)
- V (A^3/atom) = 25.016
- total DFT energy (no corrections) (eV per atom) = -33.196
- ΔE_f (raw) (eV per atom) = 2.1469

3.
First-principles (meta-GGA SCAN) data for a PBEsol-optimized structure of Cu2TeAs, as listed in Alexandria.

The structure in extended XYZ format:
```
4
Lattice="3.7015 0.0000 0.0000 0.0000 3.8081 0.0000 0.0000 0.0000 4.9009" Properties=species:S:1:pos:R:3 pbc="T T T"
Cu 0.0000 0.0000 0.0000
Cu 0.0000 1.9041 2.4504
Te 1.8508 0.0000 2.4504
As 1.8508 1.9041 0.0000
```

Values from the calculation:
- energy above the most stable polymorph in this dataset (meV/atom) = 280
- space-group type = Pmmm (47)
- V (A^3/atom) = 17.270
- total DFT energy (no corrections) (eV per atom) = -21.576
- ΔE_f (raw) (eV per atom) = 0.3844

4.
First-principles (meta-GGA SCAN) data for a PBEsol-optimized structure of CaMg2RhSe, as listed in Alexandria.

The structure in extended XYZ format:
```
5
Lattice="5.6042 0.0000 0.0000 0.0000 5.6042 0.0000 0.0000 0.0000 5.0125" Properties=species:S:1:pos:R:3 pbc="T T T"
Ca 0.0000 0.0000 0.0000
Mg 0.0000 2.8021 0.0000
Mg 2.8021 0.0000 0.0000
Rh 2.8021 2.8021 2.5062
Se 0.0000 0.0000 2.5062
```

Values from the calculation:
- space-group type = P4/mmm (123)
- V (A^3/atom) = 31.485
- total DFT energy (no corrections) (eV per atom) = -13.652
- ΔE_f (raw) (eV per atom) = 1.0400

5.
First-principles (meta-GGA SCAN) data for a PBEsol-optimized structure of MnCr2Pt, as listed in Alexandria.

The structure in extended XYZ format:
```
4
Lattice="-1.8094 1.8094 3.6965 1.8094 -1.8094 3.6965 1.8094 1.8094 -3.6965" Properties=species:S:1:pos:R:3 pbc="T T T"
Mn 0.0000 0.0000 0.0000
Cr 1.8094 0.0000 1.8483
Cr 0.0000 1.8094 1.8483
Pt 0.0000 0.0000 3.6965
```

Values from the calculation:
- formation enthalpy at 0 K (kJ/mol of formula units) = -87
- space-group type = I4/mmm (139)
- V (A^3/atom) = 12.102
- total DFT energy (no corrections) (eV per atom) = -31.530

6.
First-principles (meta-GGA SCAN) data for a PBEsol-optimized structure of Bi, as listed in Alexandria.

The structure in extended XYZ format:
```
2
Lattice="2.2643 1.3073 3.8735 -2.2643 1.3073 3.8735 0.0000 -2.6146 3.8735" Properties=species:S:1:pos:R:3 pbc="T T T"
Bi 0.0000 0.0000 2.7535
Bi 0.0000 0.0000 8.8672
```

Values from the calculation:
- energy above the most stable polymorph in this dataset (meV/atom) = 0
- formation enthalpy at 0 K (kJ/mol of formula units) = 0
- space-group type = R-3m (166)
- V (A^3/atom) = 34.398
- total DFT energy (no corrections) (eV per atom) = -78.580

7.
First-principles (meta-GGA SCAN) data for a PBEsol-optimized structure of MnZn2Cr, as listed in Alexandria.

The structure in extended XYZ format:
```
4
Lattice="2.8407 0.0000 0.0000 0.0000 2.8407 0.0000 0.0000 0.0000 6.0213" Properties=species:S:1:pos:R:3 pbc="T T T"
Mn 0.0000 0.0000 0.0000
Zn 0.0000 0.0000 3.2634
Zn 1.4204 1.4204 1.6283
Cr 1.4204 1.4204 4.9239
```

Values from the calculation:
- energy above the most stable polymorph in this dataset (meV/atom) = 2
- formation enthalpy at 0 K (kJ/mol of formula units) = -5
- space-group type = P4mm (99)
- V (A^3/atom) = 12.147
- total DFT energy (no corrections) (eV per atom) = -15.931

8.
First-principles (meta-GGA SCAN) data for a PBEsol-optimized structure of ScBe2Tc, as listed in Alexandria.

The structure in extended XYZ format:
```
4
Lattice="3.0880 0.0000 0.0000 0.0000 3.0880 0.0000 0.0000 0.0000 5.2966" Properties=species:S:1:pos:R:3 pbc="T T T"
Sc 0.0000 0.0000 0.0000
Be 1.5440 1.5440 1.6133
Be 1.5440 1.5440 3.6833
Tc 0.0000 0.0000 2.6483
```

Values from the calculation:
- energy above the most stable polymorph in this dataset (meV/atom) = 0
- formation enthalpy at 0 K (kJ/mol of formula units) = -103
- space-group type = P4/mmm (123)
- V (A^3/atom) = 12.627
- total DFT energy (no corrections) (eV per atom) = -14.769

9.
First-principles (meta-GGA SCAN) data for a PBEsol-optimized structure of PuB2C, as listed in Alexandria.

The structure in extended XYZ format:
```
12
Lattice="3.2606 1.8825 3.5178 -3.2606 1.8825 3.5178 0.0000 -3.7650 3.5178" Properties=species:S:1:pos:R:3 pbc="T T T"
Pu 0.0000 0.0000 0.0000
Pu 0.0000 0.0000 3.2903
Pu 0.0000 0.0000 7.2631
B -0.8866 -1.5357 5.2767
B -1.7732 0.0000 5.2767
B 0.8866 -1.5357 5.2767
B -0.8866 1.5357 5.2767
B 1.7732 0.0000 5.2767
B 0.8866 1.5357 5.2767
C -3.2606 0.0000 5.2767
C -1.6303 0.9413 1.7589
C 1.6303 0.9413 1.7589
```

Values from the calculation:
- formation enthalpy at 0 K (kJ/mol of formula units) = -117
- space-group type = R-3m (166)
- V (A^3/atom) = 10.796
- total DFT energy (no corrections) (eV per atom) = -34.078

10.
First-principles (meta-GGA SCAN) data for a PBEsol-optimized structure of TaReSi2, as listed in Alexandria.

The structure in extended XYZ format:
```
4
Lattice="3.1343 0.0000 0.0000 0.0000 3.1343 0.0000 0.0000 0.0000 5.7421" Properties=species:S:1:pos:R:3 pbc="T T T"
Ta 0.0000 0.0000 0.0000
Re 1.5672 1.5672 1.7702
Si 0.0000 0.0000 2.9370
Si 1.5672 1.5672 4.3281
```

Values from the calculation:
- space-group type = P4mm (99)
- V (A^3/atom) = 14.102
- total DFT energy (no corrections) (eV per atom) = -39.851
- ΔE_f (raw) (eV per atom) = -0.4231

11.
First-principles (meta-GGA SCAN) data for a PBEsol-optimized structure of Re3RuN, as listed in Alexandria.

The structure in extended XYZ format:
```
5
Lattice="4.6000 0.0000 0.0000 0.0000 4.6000 0.0000 0.0000 0.0000 4.6000" Properties=species:S:1:pos:R:3 pbc="T T T"
Re 0.0000 0.0000 2.3000
Re 0.0000 2.3000 0.0000
Re 2.3000 0.0000 0.0000
Ru 0.0000 0.0000 0.0000
N 2.3000 2.3000 2.3000
```

Values from the calculation:
- space-group type = Pm-3m (221)
- V (A^3/atom) = 19.468
- total DFT energy (no corrections) (eV per atom) = -48.161
- ΔE_f (raw) (eV per atom) = 3.3214

12.
First-principles (meta-GGA SCAN) data for a PBEsol-optimized structure of SiTeW2, as listed in Alexandria.

The structure in extended XYZ format:
```
4
Lattice="1.6604 -2.3706 0.0000 1.6604 2.3706 0.0000 0.0000 0.0000 8.6292" Properties=species:S:1:pos:R:3 pbc="T T T"
Si 0.0000 0.0000 0.0000
Te 0.0000 0.0000 4.3146
W 1.6604 0.0000 1.8402
W 1.6604 0.0000 6.7889
```

Values from the calculation:
- energy above the most stable polymorph in this dataset (meV/atom) = 356
- space-group type = Cmmm (65)
- V (A^3/atom) = 16.982
- total DFT energy (no corrections) (eV per atom) = -45.806
- ΔE_f (raw) (eV per atom) = 0.8547

13.
First-principles (meta-GGA SCAN) data for a PBEsol-optimized structure of Si3BiI, as listed in Alexandria.

The structure in extended XYZ format:
```
5
Lattice="5.2040 0.0000 0.0000 0.0000 5.2040 0.0000 0.0000 0.0000 5.2040" Properties=species:S:1:pos:R:3 pbc="T T T"
Si 0.0000 0.0000 2.6020
Si 0.0000 2.6020 0.0000
Si 2.6020 0.0000 0.0000
Bi 2.6020 2.6020 2.6020
I 0.0000 0.0000 0.0000
```

Values from the calculation:
- space-group type = Pm-3m (221)
- V (A^3/atom) = 28.187
- total DFT energy (no corrections) (eV per atom) = -27.392
- ΔE_f (raw) (eV per atom) = 1.6819

14.
First-principles (meta-GGA SCAN) data for a PBEsol-optimized structure of Li4Mn3CoP4O16, as listed in Alexandria.

The structure in extended XYZ format:
```
28
Lattice="4.7057 0.0000 0.0000 0.0000 6.0086 0.0000 -0.0304 0.0000 10.3210" Properties=species:S:1:pos:R:3 pbc="T T T"
Li 0.0000 1.4931 0.0000
Li 0.0000 4.5155 0.0000
Li 2.3083 1.4924 5.0633
Li 2.3083 4.5163 5.0633
Mn 2.2241 0.0000 7.9926
Mn 2.4432 3.0043 2.2252
Mn 4.5596 3.0043 7.3651
Co 0.0788 0.0000 2.8426
P 0.3370 3.0043 4.1330
P 1.9171 3.0043 9.3196
P 2.7408 0.0000 0.9454
P 4.2763 0.0000 6.0175
O 0.9568 1.7660 3.3940
O 0.9568 4.2427 3.3940
O 0.9515 3.0043 5.5565
O 1.1011 0.0000 6.0596
O 1.2088 0.0000 0.9808
O 1.2833 1.7752 8.5851
O 1.2833 4.2335 8.5851
O 1.3546 3.0043 0.4315
O 3.2884 0.0000 9.8258
O 3.3951 1.2232 1.6709
O 3.3951 4.7854 1.6709
O 3.4476 3.0043 9.2939
O 3.5100 3.0043 4.1313
O 3.6377 1.2246 6.7605
O 3.6377 4.7840 6.7605
O 3.6863 0.0000 4.5846
```

Values from the calculation:
- space-group type = Pm (6)
- V (A^3/atom) = 10.422
- total DFT energy (no corrections) (eV per atom) = -10.390
- ΔE_f (raw) (eV per atom) = -2.4286

15.
First-principles (meta-GGA SCAN) data for a PBEsol-optimized structure of KGe3Ir, as listed in Alexandria.

The structure in extended XYZ format:
```
5
Lattice="4.8958 0.0000 0.0000 0.0000 4.8958 0.0000 0.0000 0.0000 4.8958" Properties=species:S:1:pos:R:3 pbc="T T T"
K 0.0000 0.0000 0.0000
Ge 0.0000 2.4479 2.4479
Ge 2.4479 0.0000 2.4479
Ge 2.4479 2.4479 0.0000
Ir 2.4479 2.4479 2.4479
```

Values from the calculation:
- formation enthalpy at 0 K (kJ/mol of formula units) = 121
- space-group type = Pm-3m (221)
- V (A^3/atom) = 23.469
- total DFT energy (no corrections) (eV per atom) = -27.087

16.
First-principles (meta-GGA SCAN) data for a PBEsol-optimized structure of CaTe2Pt, as listed in Alexandria.

The structure in extended XYZ format:
```
4
Lattice="-1.8858 2.1155 6.0570 1.8858 -2.1155 6.0570 1.8858 2.1155 -6.0570" Properties=species:S:1:pos:R:3 pbc="T T T"
Ca 0.0000 0.0000 0.0000
Te 0.0000 0.0000 4.9475
Te 0.0000 2.1155 2.2649
Pt 1.8858 0.0000 2.8808
```

Values from the calculation:
- energy above the most stable polymorph in this dataset (meV/atom) = 218
- space-group type = Imm2 (44)
- V (A^3/atom) = 24.164
- total DFT energy (no corrections) (eV per atom) = -39.240
- ΔE_f (raw) (eV per atom) = -0.6508

17.
First-principles (meta-GGA SCAN) data for a PBEsol-optimized structure of AuIN3, as listed in Alexandria.

The structure in extended XYZ format:
```
5
Lattice="4.0320 0.0000 0.0000 0.0000 4.0320 0.0000 0.0000 0.0000 4.0320" Properties=species:S:1:pos:R:3 pbc="T T T"
Au 0.0000 0.0000 0.0000
I 2.0160 2.0160 2.0160
N 0.0000 0.0000 2.0160
N 0.0000 2.0160 0.0000
N 2.0160 0.0000 0.0000
```

Values from the calculation:
- space-group type = Pm-3m (221)
- V (A^3/atom) = 13.110
- total DFT energy (no corrections) (eV per atom) = -24.284
- ΔE_f (raw) (eV per atom) = 2.4702

18.
First-principles (meta-GGA SCAN) data for a PBEsol-optimized structure of CaScFe2, as listed in Alexandria.

The structure in extended XYZ format:
```
4
Lattice="-1.6328 2.1787 5.1837 1.6328 -2.1787 5.1837 1.6328 2.1787 -5.1837" Properties=species:S:1:pos:R:3 pbc="T T T"
Ca 0.0000 0.0000 0.0000
Sc 0.0000 2.1787 2.3186
Fe 1.6328 0.0000 2.6786
Fe 0.0000 0.0000 4.1968
```

Values from the calculation:
- formation enthalpy at 0 K (kJ/mol of formula units) = 101
- space-group type = Imm2 (44)
- V (A^3/atom) = 18.441
- total DFT energy (no corrections) (eV per atom) = -14.777

19.
First-principles (meta-GGA SCAN) data for a PBEsol-optimized structure of LaSi2Bi, as listed in Alexandria.

The structure in extended XYZ format:
```
8
Lattice="-4.0055 4.0055 3.1802 4.0055 -4.0055 3.1802 4.0055 4.0055 -3.1802" Properties=species:S:1:pos:R:3 pbc="T T T"
La 0.0000 0.0000 0.0000
La 0.0000 4.0055 1.5901
Si 2.0027 2.1172 -0.7950
Si 5.8938 2.0027 0.7950
Si 2.0027 1.8883 2.3851
Si -1.8883 2.0027 3.9752
Bi 4.0055 0.0000 1.5901
Bi 0.0000 0.0000 3.1802
```

Values from the calculation:
- space-group type = I-42d (122)
- V (A^3/atom) = 25.511
- total DFT energy (no corrections) (eV per atom) = -35.314
- ΔE_f (raw) (eV per atom) = 0.1155

20.
First-principles (meta-GGA SCAN) data for a PBEsol-optimized structure of RbCdF2, as listed in Alexandria.

The structure in extended XYZ format:
```
4
Lattice="1.9012 1.0976 7.2445 -1.9012 1.0976 7.2445 0.0000 -2.1953 7.2445" Properties=species:S:1:pos:R:3 pbc="T T T"
Rb 0.0000 0.0000 0.0000
Cd 0.0000 0.0000 10.8668
F 0.0000 0.0000 2.5924
F 0.0000 0.0000 19.1411
```

Values from the calculation:
- energy above the most stable polymorph in this dataset (meV/atom) = 40
- space-group type = R-3m (166)
- V (A^3/atom) = 22.676
- total DFT energy (no corrections) (eV per atom) = -16.336
- ΔE_f (raw) (eV per atom) = -1.7773